# RbNdTc2O8

A geometry-optimized RbNdTc2O8 structure (GGA-PBE, the Alexandria database).

Geometry as extended XYZ:
```
12
Lattice="6.106 0.000 0.000 -3.053 5.288 0.000 0.000 0.000 8.093" Properties=species:S:1:pos:R:3 pbc="T T T"
O 3.053 1.763 0.211
O -1.461 4.376 5.519
O 3.059 3.453 2.574
Rb 0.000 0.000 0.000
O 0.000 3.525 7.882
Tc 3.053 1.763 1.957
O 1.467 4.365 5.519
O 4.514 0.912 2.574
Nd 0.000 0.000 4.047
O 1.586 0.923 2.574
Tc 0.000 3.525 6.136
O -0.006 1.835 5.519
```

Theoretical density = 3.5 g/cm³
DOS at the Fermi energy = 0.609 states/eV per atom
ΔE_f (raw) = -2195 kJ/mol of formula units
SG = P-3, No. 147